# 1
# Li2TcPb

Crystalline Li2TcPb at its relaxed geometry (PBE, the Alexandria database).

Lattice parameters (Å, degrees): 4.9556 4.9556 5.2272 82.87 82.87 33.63
With the nearest neighbours (Å) after each atom.
Fractional positions:
Li 0.7522 0.7522 0.7646  5 Li 2.76-2.94, 4 Tc 2.91-3.05, 3 Pb 2.95-2.97
Pb 0.5009 0.5009 0.4875  3 Tc 2.83-2.90, 2 Pb 2.87, 7 Li 2.94-3.03
Tc 0.2499 0.2499 0.2496  3 Pb 2.83-2.90, 2 Tc 2.87, 7 Li 2.88-3.05
Li 0.9970 0.9970 0.9983  5 Li 2.76-2.94, 3 Tc 2.88-2.91, 4 Pb 2.94-3.03

Computed properties:
Formation energy, eV/atom: 0.32
Density of states at the Fermi level, states/eV/cell: 2.96
Space group: Cm (8)
Size of the total moment, Bohr magnetons per cell: 0.00



# 2
# CoAs2Pt

Crystalline CoAs2Pt at its relaxed geometry (PBE, the Alexandria database).

Lattice parameters (Å, degrees): 6.6146 6.6146 6.6146 33.04 33.04 33.04
With the nearest neighbours (Å) after each atom.
Fractional positions:
Pt 0.7546 0.7546 0.7546  3 As 2.42, 3 Co 2.69
As 0.2083 0.2083 0.2083  3 Co 2.27
As 0.0315 0.0315 0.0315  3 Pt 2.42
Co 0.5056 0.5056 0.5056  3 As 2.27

Computed properties:
Energy above the most stable polymorph in this dataset, meV per atom: 262.3
Formation energy, eV/atom: 0.00
Density of states at the Fermi level, states/eV/cell: 2.50
Space group: R3m (160)
Size of the total moment, Bohr magnetons per cell: 0.00



# 3
# TbDy2CdAu4

Crystalline TbDy2CdAu4 at its relaxed geometry (PBE, the Alexandria database).

Lattice parameters (Å, degrees): 5.0165 5.0165 8.7661 73.37 73.37 60.00
With the nearest neighbours (Å) after each atom.
Fractional positions:
Cd 0.0000 0.0000 0.0000  8 Au 3.11-3.29, 6 Dy 3.46
Au 0.8673 0.8673 0.3982  3 Tb 3.02, 4 Dy 3.09-3.22, 1 Cd 3.29, 3 Au 3.35
Au 0.1327 0.1327 0.6018  3 Tb 3.02, 4 Dy 3.09-3.22, 1 Cd 3.29, 3 Au 3.35
Tb 0.5000 0.5000 0.5000  8 Au 2.99-3.02
Dy 0.7429 0.7429 0.7713  8 Au 2.99-3.22
Au 0.6205 0.6205 0.1385  4 Dy 2.99-3.04, 1 Tb 2.99, 3 Cd 3.11
Au 0.3795 0.3795 0.8615  4 Dy 2.99-3.04, 1 Tb 2.99, 3 Cd 3.11
Dy 0.2571 0.2571 0.2287  8 Au 2.99-3.22

Computed properties:
Formation energy, eV/atom: -0.77
Density of states at the Fermi level, states/eV/cell: 5.46
Space group: R-3m (166)
Size of the total moment, Bohr magnetons per cell: 0.00



# 4
# ZrCr2Tc

Crystalline ZrCr2Tc at its relaxed geometry (PBE, the Alexandria database).

Lattice parameters (Å, degrees): 8.4263 8.4263 8.4263 20.07 20.07 20.07
With the nearest neighbours (Å) after each atom.
Fractional positions:
Cr 0.9911 0.9911 0.9911  3 Tc 2.50
Zr 0.7500 0.7500 0.7500  6 Cr 2.85, 6 Zr 2.94
Tc 0.2500 0.2500 0.2500  6 Cr 2.50
Cr 0.5089 0.5089 0.5089  3 Tc 2.50

Computed properties:
Energy above the most stable polymorph in this dataset, meV per atom: 376.7
Formation energy, eV/atom: 0.44
Density of states at the Fermi level, states/eV/cell: 4.91
Space group: R-3m (166)
Size of the total moment, Bohr magnetons per cell: 0.00



# 5
# MnMo6Se8

Crystalline MnMo6Se8 at its relaxed geometry (PBE, the Alexandria database).

Lattice parameters (Å, degrees): 6.7485 6.7485 6.7485 92.01 92.01 92.01
With the nearest neighbours (Å) after each atom.
Fractional positions:
Mo 0.7711 0.4503 0.5802  5 Se 2.55-2.70, 4 Mo 2.71-2.76
Mo 0.5497 0.4198 0.2289  5 Se 2.55-2.70, 4 Mo 2.71-2.76
Mo 0.2289 0.5497 0.4198  5 Se 2.55-2.70, 4 Mo 2.71-2.76
Se 0.1278 0.3668 0.7445  4 Mo 2.56-2.70
Se 0.3668 0.7445 0.1278  4 Mo 2.56-2.70
Se 0.7796 0.7796 0.7796  1 Mn 2.48, 3 Mo 2.55
Se 0.8722 0.6332 0.2555  4 Mo 2.56-2.70
Se 0.7445 0.1278 0.3668  4 Mo 2.56-2.70
Se 0.2555 0.8722 0.6332  4 Mo 2.56-2.70
Mn 0.0000 0.0000 0.0000  2 Se 2.48
Mo 0.4198 0.2289 0.5497  5 Se 2.55-2.70, 4 Mo 2.71-2.76
Se 0.6332 0.2555 0.8722  4 Mo 2.56-2.70
Mo 0.4503 0.5802 0.7711  5 Se 2.55-2.70, 4 Mo 2.71-2.76
Mo 0.5802 0.7711 0.4503  5 Se 2.55-2.70, 4 Mo 2.71-2.76
Se 0.2204 0.2204 0.2204  1 Mn 2.48, 3 Mo 2.55

Computed properties:
Density of states at the Fermi level, states/eV/cell: 9.15
Uncorrected formation energy, eV/atom: -0.47
Space group: R-3 (148)
Size of the total moment, Bohr magnetons per cell: 4.39



# 6
# Mg4ZnPt

Crystalline Mg4ZnPt at its relaxed geometry (PBE, the Alexandria database).

Lattice parameters (Å, degrees): 5.4331 5.4331 5.4331 60.00 60.00 60.00
With the nearest neighbours (Å) after each atom.
Fractional positions:
Mg 0.3754 0.3754 0.8737  6 Mg 2.71-2.73
Zn 0.0000 0.0000 0.0000  12 Mg 3.19, 4 Pt 3.33
Mg 0.3754 0.8737 0.3754  6 Mg 2.71-2.73
Mg 0.8737 0.3754 0.3754  6 Mg 2.71-2.73
Pt 0.7500 0.7500 0.7500  12 Mg 3.18, 4 Zn 3.33
Mg 0.3754 0.3754 0.3754  6 Mg 2.71-2.73

Computed properties:
Energy above the most stable polymorph in this dataset, meV per atom: 480.6
Formation energy, eV/atom: 0.07
Density of states at the Fermi level, states/eV/cell: 2.58
Space group: F-43m (216)
Size of the total moment, Bohr magnetons per cell: 0.00



# 7
# BaNi2Ir

Crystalline BaNi2Ir at its relaxed geometry (PBE, the Alexandria database).

Lattice parameters (Å, degrees): 4.2435 4.2435 5.9975 69.19 69.19 60.00
With the nearest neighbours (Å) after each atom.
Fractional positions:
Ni 0.5682 0.5682 0.2956  3 Ir 2.46, 3 Ni 2.50
Ni 0.9318 0.9318 0.2044  3 Ir 2.46, 3 Ni 2.50
Ir 0.2500 0.2500 0.2500  6 Ni 2.46
Ba 0.7500 0.7500 0.7500  2 Ni 2.98

Computed properties:
Energy above the most stable polymorph in this dataset, meV per atom: 0.0
Formation energy, eV/atom: -0.11
Density of states at the Fermi level, states/eV/cell: 3.82
Space group: C2/m (12)
Size of the total moment, Bohr magnetons per cell: 0.63



# 8
# Hf5PdS

Crystalline Hf5PdS at its relaxed geometry (PBE, the Alexandria database).

Lattice parameters (Å, degrees): 6.0136 6.0136 9.7955 73.03 73.03 59.70
With the nearest neighbours (Å) after each atom.
Fractional positions:
Hf 0.0730 0.9270 0.7500  2 S 2.49, 1 Pd 2.77
Pd 0.4648 0.5352 0.2500  3 Hf 2.62-2.77
Hf 0.2268 0.5220 0.5210  1 S 2.46, 1 Pd 2.62
S 0.0000 0.0000 0.0000  6 Hf 2.46-2.49
Hf 0.9464 0.6108 0.1494  1 S 2.49
Hf 0.6108 0.9464 0.6494  1 S 2.49
Pd 0.5352 0.4648 0.7500  3 Hf 2.62-2.77
Hf 0.7732 0.4780 0.4790  1 S 2.46, 1 Pd 2.62
S 0.0000 0.0000 0.5000  6 Hf 2.46-2.49
Hf 0.5220 0.2268 0.0210  1 S 2.46, 1 Pd 2.62
Hf 0.3892 0.0536 0.3506  1 S 2.49
Hf 0.9270 0.0730 0.2500  2 S 2.49, 1 Pd 2.77
Hf 0.0536 0.3892 0.8506  1 S 2.49
Hf 0.4780 0.7732 0.9790  1 S 2.46, 1 Pd 2.62

Computed properties:
Density of states at the Fermi level, states/eV/cell: 14.25
Uncorrected formation energy, eV/atom: -0.41
Space group: C2/c (15)
Size of the total moment, Bohr magnetons per cell: 0.00



# 9
# UInAgBr6

Crystalline UInAgBr6 at its relaxed geometry (PBE, the Alexandria database).

Lattice parameters (Å, degrees): 7.2695 7.2695 14.6358 90.00 90.00 120.00
With the nearest neighbours (Å) after each atom.
Fractional positions:
Br 0.9877 0.6340 0.3629  1 U 2.80, 1 Ag 2.92
In 0.0000 0.0000 0.0000  6 Br 3.30
Br 0.3537 0.3660 0.8629  1 U 2.80, 1 Ag 2.92
In 0.0000 0.0000 0.5000  6 Br 3.30
Br 0.3660 0.3537 0.3629  1 U 2.80, 1 Ag 2.92
Br 0.3537 0.9877 0.6371  1 U 2.80, 1 Ag 2.92
Br 0.9877 0.3537 0.1371  1 U 2.80, 1 Ag 2.92
U 0.6667 0.3333 0.2500  6 Br 2.80
Br 0.6340 0.6463 0.6371  1 U 2.80, 1 Ag 2.92
Br 0.6463 0.0123 0.3629  1 U 2.80, 1 Ag 2.92
Br 0.0123 0.3660 0.6371  1 U 2.80, 1 Ag 2.92
Br 0.0123 0.6463 0.8629  1 U 2.80, 1 Ag 2.92
Br 0.3660 0.0123 0.1371  1 U 2.80, 1 Ag 2.92
U 0.3333 0.6667 0.7500  6 Br 2.80
Br 0.6340 0.9877 0.8629  1 U 2.80, 1 Ag 2.92
Ag 0.6667 0.3333 0.7500  6 Br 2.92
Br 0.6463 0.6340 0.1371  1 U 2.80, 1 Ag 2.92
Ag 0.3333 0.6667 0.2500  6 Br 2.92

Computed properties:
Density of states at the Fermi level, states/eV/cell: 8.49
Uncorrected formation energy, eV/atom: -0.95
Space group: P-31c (163)
Size of the total moment, Bohr magnetons per cell: 4.00



# 10
# RbZrB

Crystalline RbZrB at its relaxed geometry (PBE, the Alexandria database).

Lattice parameters (Å, degrees): 4.5733 11.5210 4.5741 95.29 74.25 94.92
With the nearest neighbours (Å) after each atom.
Fractional positions:
Rb 0.3966 0.6847 0.0608  2 Zr 3.96, 2 B 4.07
B 0.3156 0.0322 0.3010  1 B 1.70
B 0.6231 0.0322 0.9935  1 B 1.70
Zr 0.7495 0.9688 0.4260  4 B 2.40-2.55
Rb 0.8116 0.2720 0.4956  1 Zr 3.47, 4 B 3.62-3.64
Zr 0.1660 0.9820 0.8427  4 B 2.38-2.49

Computed properties:
Energy above the most stable polymorph in this dataset, meV per atom: 283.2
Formation energy, eV/atom: 0.28
Density of states at the Fermi level, states/eV/cell: 3.86
Space group: P1 (1)
Size of the total moment, Bohr magnetons per cell: 0.00



Q: Number 7 is which compound?
A: BaNi2Ir